(1)
Here is LiLuBiRu after structural relaxation from Alexandria. Energies are from GGA-PBE.

As for the density of states at the Fermi level: 17.21 states/eV/cell. The value obtained for the final energy is -5.217 eV per atom.

The space group is F-43m (No. 216) and the conventional cell measures 6.7161, 6.7161 and 6.7161 Å, with angles of 90.00, 90.00 and 90.00 degrees. The distinct sites, in fractional coordinates, are Li at (0.0000, 0.0000, 0.0000), Lu at (0.2500, 0.2500, 0.7500), Bi at (0.2500, 0.2500, 0.2500) and Ru at (0.0000, 0.0000, 0.5000).


(2)
Here is Pr9InSn2 after structural relaxation from Alexandria. Energies are from GGA-PBE.

As for the density of states at the Fermi level: 14.87 states/eV/cell. The value obtained for the final energy is -4.879 eV per atom.

The space group is P4/mmm (No. 123) and the conventional cell measures 5.0065, 5.0065 and 14.9884 Å, with angles of 90.00, 90.00 and 90.00 degrees. The distinct sites, in fractional coordinates, are Pr at (0.0000, 0.0000, 0.0000), Pr at (0.0000, 0.0000, 0.3349), Pr at (0.0000, 0.5000, 0.1690), Pr at (0.0000, 0.5000, 0.5000), In at (0.5000, 0.5000, 0.0000) and Sn at (0.5000, 0.5000, 0.3330).


(3)
Here is Ac2ReN5 after structural relaxation from Alexandria. Energies are from GGA-PBE.

For the uncorrected formation energy, the calculation gives -276 meV/atom. As for the density of states at the Fermi level: 9.91 states/eV/cell.

The space group is I4mm (No. 107) and the conventional cell measures 5.9557, 5.9557 and 7.8183 Å, with angles of 90.00, 90.00 and 90.00 degrees. The distinct sites, in fractional coordinates, are Ac at (0.0000, 0.5000, 0.0000), Re at (0.0000, 0.0000, 0.2559), N at (0.0000, 0.0000, 0.4831) and N at (0.2237, 0.2237, 0.1944).


(4)
Here is YHf3V after structural relaxation from Alexandria. Energies are from GGA-PBE.

As for the polymorph energy (0 for the lowest one): 638 kJ/mol of formula units. As for the density of states at the Fermi level: 5.68 states/eV/cell.

The space group is Pm-3m (No. 221) and the conventional cell measures 5.0980, 5.0980 and 5.0980 Å, with angles of 90.00, 90.00 and 90.00 degrees. The distinct sites, in fractional coordinates, are Y at (0.0000, 0.0000, 0.0000), Hf at (0.0000, 0.0000, 0.5000) and V at (0.5000, 0.5000, 0.5000).


Repeat the second record exactly.
Here is Pr9InSn2 after structural relaxation from Alexandria. Energies are from GGA-PBE.

As for the density of states at the Fermi level: 14.87 states/eV/cell. The value obtained for the final energy is -4.879 eV per atom.

The space group is P4/mmm (No. 123) and the conventional cell measures 5.0065, 5.0065 and 14.9884 Å, with angles of 90.00, 90.00 and 90.00 degrees. The distinct sites, in fractional coordinates, are Pr at (0.0000, 0.0000, 0.0000), Pr at (0.0000, 0.0000, 0.3349), Pr at (0.0000, 0.5000, 0.1690), Pr at (0.0000, 0.5000, 0.5000), In at (0.5000, 0.5000, 0.0000) and Sn at (0.5000, 0.5000, 0.3330).


Repeat the fourth record exactly.
Here is YHf3V after structural relaxation from Alexandria. Energies are from GGA-PBE.

As for the polymorph energy (0 for the lowest one): 638 kJ/mol of formula units. As for the density of states at the Fermi level: 5.68 states/eV/cell.

The space group is Pm-3m (No. 221) and the conventional cell measures 5.0980, 5.0980 and 5.0980 Å, with angles of 90.00, 90.00 and 90.00 degrees. The distinct sites, in fractional coordinates, are Y at (0.0000, 0.0000, 0.0000), Hf at (0.0000, 0.0000, 0.5000) and V at (0.5000, 0.5000, 0.5000).